No. 1
A geometry-optimized Li2Cu structure. Source: the Alexandria database, functional PBEsol.

a = 4.629 Å, b = 4.629 Å, c = 4.629 Å
α = 148.07°, β = 129.33°, γ = 61.15°
Sites, in units of the cell vectors:
Li 0.160 0.160 0.000
Li 0.840 0.840 0.000
Cu 0.500 0.500 0.000

Results
ΔH_f (0 K) = 0.032 eV per atom

---

No. 2
A geometry-optimized NbSbAsBr2 structure. Source: the Alexandria database, functional PBEsol.

a = 5.283 Å, b = 5.283 Å, c = 5.428 Å
α = 90.00°, β = 90.00°, γ = 90.00°
Sites, in units of the cell vectors:
Nb 0.000 0.000 0.000
Sb 0.500 0.500 0.500
As 0.500 0.500 0.000
Br 0.000 0.500 0.500
Br 0.500 0.000 0.500

Results
Energy relative to the elements, uncorrected = 1.04 eV per atom

---

No. 3
A geometry-optimized KNb6S8 structure. Source: the Alexandria database, functional PBEsol.

a = 9.581 Å, b = 9.581 Å, c = 3.377 Å
α = 90.00°, β = 90.00°, γ = 120.00°
Sites, in units of the cell vectors:
K 0.000 0.000 0.000
Nb 0.113 0.487 0.249
Nb 0.374 0.887 0.249
Nb 0.487 0.374 0.751
Nb 0.513 0.626 0.249
Nb 0.626 0.113 0.751
Nb 0.887 0.513 0.751
S 0.058 0.713 0.252
S 0.287 0.345 0.252
S 0.333 0.667 0.749
S 0.345 0.058 0.748
S 0.655 0.942 0.252
S 0.667 0.333 0.251
S 0.713 0.655 0.748
S 0.942 0.287 0.748

Results
Energy relative to the elements, uncorrected = -1.23 eV per atom

---

VASP energy across the listed records, respectively: -0.100; -0.140; -0.293 hartree per atom.
N(E_F) across the listed records, respectively: 0.9; 8.1; 4.1 states/eV/f.u..